A plane-wave DFT calculation with PBE with a Hubbard U was carried out for a geometry-optimized TlCrCdF6 structure.

Cell: 7.447 7.447 7.447 Å, 119.27 118.98 91.52°
Positions (direct):
Tl (0.353, 0.103, 0.250)
Tl (0.647, 0.897, 0.750)
Cr (0.000, 0.000, 0.500)
Cr (0.000, 0.500, 0.000)
Cd (0.000, 0.500, 0.500)
Cd (0.500, 0.500, 0.000)
F (0.043, 0.293, 0.750)
F (0.049, 0.351, 0.163)
F (0.049, 0.886, 0.698)
F (0.312, 0.114, 0.663)
F (0.312, 0.649, 0.198)
F (0.355, 0.605, 0.750)
F (0.645, 0.395, 0.250)
F (0.688, 0.351, 0.802)
F (0.688, 0.886, 0.337)
F (0.951, 0.114, 0.302)
F (0.951, 0.649, 0.837)
F (0.957, 0.707, 0.250)

For the total DFT energy (no corrections), the calculation gives -4.81 eV/atom.